(1)
! LiZrFe2 PBE optimized geometry; values from VASP
&SYSTEM
  ibrav = 0, nat = 4, ntyp = 3
/
ATOMIC_SPECIES
Li 6.94 Li.upf
Zr 91.22 Zr.upf
Fe 55.84 Fe.upf
ATOMIC_POSITIONS angstrom
Li 0.000 0.000 0.000
Zr 1.940 1.940 0.000
Fe 0.000 1.940 1.877
Fe 1.940 0.000 1.877
CELL_PARAMETERS angstrom
3.879 0.000 0.000
0.000 3.879 0.000
0.000 0.000 3.753
! Calculated total energy = -6.673 eV/atom
! Energy of formation from the pure elements = 0.174 eV per atom
! SG = P4/mmm (123)

=====

(2)
! LiPr2Au PBE optimized geometry; values from VASP
&SYSTEM
  ibrav = 0, nat = 4, ntyp = 3
/
ATOMIC_SPECIES
Li 6.94 Li.upf
Pr 140.91 Pr.upf
Au 196.97 Au.upf
ATOMIC_POSITIONS angstrom
Li 0.000 0.000 0.000
Pr 0.000 0.000 6.280
Pr 0.000 0.000 11.321
Au 0.000 0.000 21.999
CELL_PARAMETERS angstrom
2.051 1.184 8.785
-2.051 1.184 8.785
0.000 -2.368 8.785
! Calculated total energy = -3.837 eV/atom
! Energy of formation from the pure elements = -0.149 eV per atom
! SG = R3m (160)

=====

(3)
! SrHgOs2 PBE optimized geometry; values from VASP
&SYSTEM
  ibrav = 0, nat = 4, ntyp = 3
/
ATOMIC_SPECIES
Sr 87.62 Sr.upf
Hg 200.59 Hg.upf
Os 190.23 Os.upf
ATOMIC_POSITIONS angstrom
Sr 0.000 0.000 0.000
Hg 1.871 0.000 2.399
Os 0.793 2.495 2.951
Os 2.949 2.495 1.847
CELL_PARAMETERS angstrom
4.224 0.000 0.000
0.000 4.990 0.000
-0.482 0.000 4.799
! Calculated total energy = -5.361 eV/atom
! Energy of formation from the pure elements = 0.749 eV per atom
! SG = P2/m (10)

=====

(4)
! Tm2Sc3Ag2 PBE optimized geometry; values from VASP
&SYSTEM
  ibrav = 0, nat = 7, ntyp = 3
/
ATOMIC_SPECIES
Tm 168.93 Tm.upf
Sc 44.96 Sc.upf
Ag 107.87 Ag.upf
ATOMIC_POSITIONS angstrom
Tm 0.476 0.000 1.860
Tm 6.663 0.000 5.127
Sc 3.576 0.000 0.331
Sc 3.570 0.000 3.494
Sc 3.563 0.000 6.656
Ag -0.510 0.000 4.767
Ag 7.649 0.000 2.220
CELL_PARAMETERS angstrom
5.097 -2.394 0.000
5.097 2.394 0.000
-3.054 0.000 6.987
! Calculated total energy = -4.910 eV/atom
! Energy of formation from the pure elements = -0.104 eV per atom
! SG = C2/m (12)

=====

(5)
! LaTeCl3 PBE optimized geometry; values from VASP
&SYSTEM
  ibrav = 0, nat = 5, ntyp = 3
/
ATOMIC_SPECIES
La 138.91 La.upf
Te 127.60 Te.upf
Cl 35.45 Cl.upf
ATOMIC_POSITIONS angstrom
La 0.000 0.000 0.000
Te 2.808 2.808 2.808
Cl 0.000 0.000 2.808
Cl 0.000 2.808 0.000
Cl 2.808 0.000 0.000
CELL_PARAMETERS angstrom
5.616 0.000 0.000
0.000 5.616 0.000
0.000 0.000 5.616
! Calculated total energy = -4.112 eV/atom
! SG = Pm-3m (221)
! Raw formation energy = -1.3901 eV/atom

=====

(6)
! TbPr3Sm3 PBE optimized geometry; values from VASP
&SYSTEM
  ibrav = 0, nat = 7, ntyp = 3
/
ATOMIC_SPECIES
Tb 158.93 Tb.upf
Pr 140.91 Pr.upf
Sm 150.36 Sm.upf
ATOMIC_POSITIONS angstrom
Tb 0.000 0.000 0.000
Pr -2.363 -1.365 5.881
Pr 2.363 -1.365 5.881
Pr 0.000 2.729 5.881
Sm -1.970 -1.138 2.527
Sm 1.970 -1.138 2.527
Sm 0.000 2.275 2.527
CELL_PARAMETERS angstrom
5.376 3.104 2.445
-5.376 3.104 2.445
0.000 -6.208 2.445
! Calculated total energy = -4.493 eV/atom
! Energy of formation from the pure elements = 0.240 eV per atom
! SG = R3m (160)
! E above lowest polymorph = 0.08 eV per formula unit